{
  "formula": "CsTcCl2",
  "functional": "PBE-GGA",
  "state": "optimized geometry",
  "volume_a3_per_atom": 31.7,
  "density_g_cm3": 3.9,
  "sg": "No. 122",
  "relative_energy_mev_per_atom": 66,
  "cell": [[6.266, 0.000, 0.000], [0.000, 6.266, 0.000], [0.000, 0.000, 12.934]],
  "species": ["Cs", "Cs", "Cs", "Cs", "Tc", "Tc", "Tc", "Tc", "Cl", "Cl", "Cl", "Cl", "Cl", "Cl", "Cl", "Cl"],
  "fractional_positions": [[0.000, 0.000, 0.000], [0.000, 0.500, 0.250], [0.500, 0.000, 0.750], [0.500, 0.500, 0.500], [0.000, 0.000, 0.500], [0.000, 0.500, 0.750], [0.500, 0.000, 0.250], [0.500, 0.500, 0.000], [0.100, 0.250, 0.625], [0.250, 0.600, 0.875], [0.250, 0.900, 0.375], [0.400, 0.250, 0.125], [0.600, 0.750, 0.125], [0.750, 0.100, 0.375], [0.750, 0.400, 0.875], [0.900, 0.750, 0.625]]
}


{
  "formula": "Cs2TcCl5",
  "functional": "PBE-GGA",
  "state": "optimized geometry",
  "volume_a3_per_atom": 37.1,
  "density_g_cm3": 3.0,
  "sg": "No. 107",
  "relative_energy_mev_per_atom": 30,
  "cell": [[7.616, 0.000, 0.000], [0.000, 7.616, 0.000], [0.000, 0.000, 10.234]],
  "species": ["Cs", "Cs", "Cs", "Cs", "Tc", "Tc", "Cl", "Cl", "Cl", "Cl", "Cl", "Cl", "Cl", "Cl", "Cl", "Cl"],
  "fractional_positions": [[0.000, 0.500, 0.000], [0.000, 0.500, 0.500], [0.500, 0.000, 0.000], [0.500, 0.000, 0.500], [0.000, 0.000, 0.229], [0.500, 0.500, 0.729], [0.000, 0.000, 0.984], [0.220, 0.220, 0.256], [0.220, 0.780, 0.256], [0.280, 0.280, 0.756], [0.280, 0.720, 0.756], [0.500, 0.500, 0.484], [0.720, 0.280, 0.756], [0.720, 0.720, 0.756], [0.780, 0.220, 0.256], [0.780, 0.780, 0.256]]
}